Compound: Tb2BeSi3Ni12
Source: the Alexandria database
Functional: GGA-PBE
Structure: optimized geometry

Values from the calculation:
symmetry = No. 166

POSCAR file:
```
Tb2BeSi3Ni12
1.0
3.091 1.785 7.539
-3.091 1.785 7.539
0.000 -3.570 7.539
Tb Be Si Ni
2 1 3 12
Cartesian
0.000 0.000 3.517
0.000 0.000 19.101
0.000 0.000 11.309
-1.546 -0.892 7.539
-1.546 0.892 15.078
0.000 1.785 7.539
0.000 -2.128 6.481
-1.843 1.064 6.481
-1.267 -0.732 9.824
-1.843 -1.064 16.137
0.000 -1.463 12.794
-1.267 0.732 12.794
1.267 -0.732 9.824
0.000 1.463 9.824
1.843 1.064 6.481
1.267 0.732 12.794
1.843 -1.064 16.137
0.000 2.128 16.137
```

Compound: Th2BeSi3Ni4
Source: the Alexandria database
Functional: GGA-PBE
Structure: optimized geometry

Values from the calculation:
symmetry = No. 115

POSCAR file:
```
Th2BeSi3Ni4
1.0
4.047 0.000 0.000
0.000 4.047 0.000
0.000 0.000 9.467
Th Be Si Ni
2 1 3 4
Cartesian
0.000 2.023 2.350
2.023 0.000 7.118
2.023 2.023 0.000
0.000 0.000 0.000
0.000 2.023 5.954
2.023 0.000 3.513
0.000 0.000 4.734
0.000 2.023 8.328
2.023 0.000 1.139
2.023 2.023 4.734
```

Compound: Th2Be3Si4Ni
Source: the Alexandria database
Functional: GGA-PBE
Structure: optimized geometry

Values from the calculation:
symmetry = No. 115

POSCAR file:
```
Th2Be3Si4Ni
1.0
4.065 0.000 0.000
0.000 4.065 0.000
0.000 0.000 9.367
Th Be Si Ni
2 3 4 1
Cartesian
0.000 2.032 2.331
2.032 0.000 7.037
0.000 0.000 0.000
0.000 2.032 5.844
2.032 0.000 3.523
0.000 0.000 4.684
0.000 2.032 8.160
2.032 0.000 1.207
2.032 2.032 4.684
2.032 2.032 0.000
```

Compound: Th2Be4Si3Ni
Source: the Alexandria database
Functional: GGA-PBE
Structure: optimized geometry

Values from the calculation:
symmetry = No. 115

POSCAR file:
```
Th2Be4Si3Ni
1.0
3.971 0.000 0.000
0.000 3.971 0.000
0.000 0.000 9.532
Th Be Si Ni
2 4 3 1
Cartesian
0.000 1.986 2.353
1.986 0.000 7.179
0.000 0.000 4.766
0.000 1.986 8.375
1.986 0.000 1.157
1.986 1.986 4.766
0.000 0.000 0.000
0.000 1.986 6.015
1.986 0.000 3.518
1.986 1.986 0.000
```

Compound: ThBeSi2Ni4
Source: the Alexandria database
Functional: GGA-PBE
Structure: optimized geometry

Values from the calculation:
symmetry = No. 166

POSCAR file:
```
ThBeSi2Ni4
1.0
1.958 1.130 8.120
-1.958 1.130 8.120
0.000 -2.261 8.120
Th Be Si Ni
1 1 2 4
Cartesian
0.000 0.000 0.000
0.000 0.000 12.179
0.000 0.000 5.748
0.000 0.000 18.611
0.000 0.000 3.339
0.000 0.000 10.016
0.000 0.000 14.343
0.000 0.000 21.020
```

Compound: Ti2BeSiNi
Source: the Alexandria database
Functional: GGA-PBE
Structure: optimized geometry

Values from the calculation:
symmetry = No. 123

POSCAR file:
```
Ti2BeSiNi
1.0
4.595 0.000 0.000
0.000 4.595 0.000
0.000 0.000 4.122
Ti Be Si Ni
2 1 1 1
Cartesian
0.000 2.297 0.000
2.297 0.000 0.000
0.000 0.000 2.061
2.297 2.297 0.000
2.297 2.297 2.061
```

Compound: Tm2BeSi2Ni5
Source: the Alexandria database
Functional: GGA-PBE
Structure: optimized geometry

Values from the calculation:
symmetry = No. 127

POSCAR file:
```
Tm2BeSi2Ni5
1.0
9.709 0.000 0.000
0.000 9.709 0.000
0.000 0.000 2.913
Tm Be Si Ni
4 2 4 10
Cartesian
1.687 3.168 0.000
3.168 8.023 0.000
6.541 1.687 0.000
8.023 6.541 0.000
0.000 0.000 0.000
4.855 4.855 0.000
1.259 6.114 0.000
3.595 1.259 0.000
6.114 8.450 0.000
8.450 3.595 0.000
0.000 4.855 1.456
0.520 7.855 1.456
1.855 0.520 1.456
3.000 5.375 1.456
4.335 3.000 1.456
4.855 0.000 1.456
5.375 6.710 1.456
6.710 4.335 1.456
7.855 9.189 1.456
9.189 1.855 1.456
```

Compound: Tm2BeSi4Ni3
Source: the Alexandria database
Functional: GGA-PBE
Structure: optimized geometry

Values from the calculation:
symmetry = No. 115

POSCAR file:
```
Tm2BeSi4Ni3
1.0
3.881 0.000 0.000
0.000 3.881 0.000
0.000 0.000 9.621
Tm Be Si Ni
2 1 4 3
Cartesian
0.000 1.940 2.388
1.940 0.000 7.233
1.940 1.940 0.000
0.000 0.000 4.810
0.000 1.940 8.342
1.940 0.000 1.279
1.940 1.940 4.810
0.000 0.000 0.000
0.000 1.940 6.045
1.940 0.000 3.576
```

Compound: TmBeSi2Ni2
Source: the Alexandria database
Functional: GGA-PBE
Structure: optimized geometry

Values from the calculation:
symmetry = No. 123

POSCAR file:
```
TmBeSi2Ni2
1.0
4.159 0.000 0.000
0.000 4.159 0.000
0.000 0.000 5.067
Tm Be Si Ni
1 1 2 2
Cartesian
0.000 0.000 0.000
0.000 0.000 2.534
0.000 2.080 2.534
2.080 0.000 2.534
2.080 2.080 1.238
2.080 2.080 3.830
```

Compound: TmBeSiNi6
Source: the Alexandria database
Functional: GGA-PBE
Structure: optimized geometry

Values from the calculation:
symmetry = No. 74

POSCAR file:
```
TmBeSiNi6
1.0
-3.036 3.777 5.050
3.036 -3.777 5.050
3.036 3.777 -5.050
Tm Be Si Ni
2 2 2 12
Cartesian
0.000 1.889 2.098
3.036 1.889 2.952
0.000 0.000 0.000
0.000 3.777 0.000
1.518 1.889 -2.525
1.518 -1.889 2.525
1.798 -0.066 1.218
4.273 -0.066 1.218
3.036 -1.889 4.160
3.036 1.889 0.166
1.798 3.712 -1.218
1.238 -0.066 3.832
1.798 3.843 1.218
1.238 0.066 6.268
0.000 1.889 4.884
0.000 5.666 0.890
-1.238 3.843 3.832
1.238 3.843 3.832
```

Compound: U2BeSi3Ni4
Source: the Alexandria database
Functional: GGA-PBE
Structure: optimized geometry

Values from the calculation:
symmetry = No. 115

POSCAR file:
```
U2BeSi3Ni4
1.0
3.895 0.000 0.000
0.000 3.895 0.000
0.000 0.000 9.467
U Be Si Ni
2 1 3 4
Cartesian
0.000 1.947 2.313
1.947 0.000 7.154
1.947 1.947 0.000
0.000 0.000 0.000
0.000 1.947 5.989
1.947 0.000 3.478
0.000 0.000 4.734
0.000 1.947 8.269
1.947 0.000 1.198
1.947 1.947 4.734
```

Compound: U2Be4Si3Ni
Source: the Alexandria database
Functional: GGA-PBE
Structure: optimized geometry

Values from the calculation:
symmetry = No. 115

POSCAR file:
```
U2Be4Si3Ni
1.0
3.828 0.000 0.000
0.000 3.828 0.000
0.000 0.000 9.378
U Be Si Ni
2 4 3 1
Cartesian
0.000 1.914 2.311
1.914 0.000 7.067
0.000 0.000 4.689
0.000 1.914 8.192
1.914 0.000 1.186
1.914 1.914 4.689
0.000 0.000 0.000
0.000 1.914 5.964
1.914 0.000 3.414
1.914 1.914 0.000
```

In the order shown, the computed Fermi-level density of states values come out to 6.8, 6.7, 2.9, 2.0, 6.5, 5.8, 18.3, 4.5, 4.0, 9.2, 16.9, 14.5 states/eV/cell.
In the order shown, the computed formation energy from raw total energies values come out to -265, -730, -493, -441, -474, 255, -393, -733, -36, -162, -491, -247 kJ/mol of formula units.